(A)
Na3CrB at its PBEsol-relaxed geometry, computed with meta-GGA SCAN.

Properties
space-group type: Pm-3m
density of states at the Fermi level: 0.257 states/eV/atom

Structure (CIF):
```
data_Na3CrB
_cell_length_a 5.044
_cell_length_b 5.044
_cell_length_c 5.044
_cell_angle_alpha 90.00
_cell_angle_beta 90.00
_cell_angle_gamma 90.00
_space_group_name_H-M_alt 'P 1'
_space_group_IT_number 1
_space_group_name_Hall 'P 1'
loop_
_atom_site_label
_atom_site_type_symbol
_atom_site_fract_x
_atom_site_fract_y
_atom_site_fract_z
Na1 Na 0.000 0.000 0.500
Na2 Na 0.000 0.500 0.000
Na3 Na 0.500 0.000 0.000
Cr1 Cr 0.500 0.500 0.500
B1 B 0.000 0.000 0.000
```

(B)
Na3CrB at its PBEsol-relaxed geometry, computed with meta-GGA SCAN.

Properties
space-group type: Pm-3m
density of states at the Fermi level: 0.673 states/eV/atom

Structure (CIF):
```
data_Na3CrB
_cell_length_a 5.512
_cell_length_b 5.512
_cell_length_c 5.512
_cell_angle_alpha 90.00
_cell_angle_beta 90.00
_cell_angle_gamma 90.00
_space_group_name_H-M_alt 'P 1'
_space_group_IT_number 1
_space_group_name_Hall 'P 1'
loop_
_atom_site_label
_atom_site_type_symbol
_atom_site_fract_x
_atom_site_fract_y
_atom_site_fract_z
Na1 Na 0.000 0.000 0.500
Na2 Na 0.000 0.500 0.000
Na3 Na 0.500 0.000 0.000
Cr1 Cr 0.000 0.000 0.000
B1 B 0.500 0.500 0.500
```

Which structure wins on stability? (A) wins.

(A)
CuBPO2 at its PBEsol-relaxed geometry, computed with meta-GGA SCAN.

Properties
space-group type: P4/mmm
density of states at the Fermi level: 0.479 states/eV/atom

Structure (CIF):
```
data_CuBPO2
_cell_length_a 3.491
_cell_length_b 3.491
_cell_length_c 4.836
_cell_angle_alpha 90.00
_cell_angle_beta 90.00
_cell_angle_gamma 90.00
_space_group_name_H-M_alt 'P 1'
_space_group_IT_number 1
_space_group_name_Hall 'P 1'
loop_
_atom_site_label
_atom_site_type_symbol
_atom_site_fract_x
_atom_site_fract_y
_atom_site_fract_z
Cu1 Cu 0.000 0.000 0.000
B1 B 0.500 0.500 0.500
P1 P 0.000 0.000 0.500
O1 O 0.000 0.500 0.000
O2 O 0.500 0.000 0.000
```

(B)
CuBPO2 at its PBEsol-relaxed geometry, computed with meta-GGA SCAN.

Properties
space-group type: P4/mmm
density of states at the Fermi level: 0.388 states/eV/atom

Structure (CIF):
```
data_CuBPO2
_cell_length_a 3.084
_cell_length_b 3.084
_cell_length_c 6.463
_cell_angle_alpha 90.00
_cell_angle_beta 90.00
_cell_angle_gamma 90.00
_space_group_name_H-M_alt 'P 1'
_space_group_IT_number 1
_space_group_name_Hall 'P 1'
loop_
_atom_site_label
_atom_site_type_symbol
_atom_site_fract_x
_atom_site_fract_y
_atom_site_fract_z
Cu1 Cu 0.000 0.000 0.000
B1 B 0.500 0.500 0.500
P1 P 0.500 0.500 0.000
O1 O 0.000 0.500 0.500
O2 O 0.500 0.000 0.500
```

Which structure wins on stability? (B) wins.

(A)
CuB3Os at its PBEsol-relaxed geometry, computed with meta-GGA SCAN.

Properties
space-group type: Pm-3m
density of states at the Fermi level: 0.479 states/eV/atom

Structure (CIF):
```
data_CuB3Os
_cell_length_a 3.699
_cell_length_b 3.699
_cell_length_c 3.699
_cell_angle_alpha 90.00
_cell_angle_beta 90.00
_cell_angle_gamma 90.00
_space_group_name_H-M_alt 'P 1'
_space_group_IT_number 1
_space_group_name_Hall 'P 1'
loop_
_atom_site_label
_atom_site_type_symbol
_atom_site_fract_x
_atom_site_fract_y
_atom_site_fract_z
Cu1 Cu 0.000 0.000 0.000
B1 B 0.000 0.000 0.500
B2 B 0.000 0.500 0.000
B3 B 0.500 0.000 0.000
Os1 Os 0.500 0.500 0.500
```

(B)
CuB3Os at its PBEsol-relaxed geometry, computed with meta-GGA SCAN.

Properties
space-group type: Pm-3m
density of states at the Fermi level: 0.098 states/eV/atom

Structure (CIF):
```
data_CuB3Os
_cell_length_a 4.033
_cell_length_b 4.033
_cell_length_c 4.033
_cell_angle_alpha 90.00
_cell_angle_beta 90.00
_cell_angle_gamma 90.00
_space_group_name_H-M_alt 'P 1'
_space_group_IT_number 1
_space_group_name_Hall 'P 1'
loop_
_atom_site_label
_atom_site_type_symbol
_atom_site_fract_x
_atom_site_fract_y
_atom_site_fract_z
Cu1 Cu 0.000 0.000 0.000
B1 B 0.000 0.500 0.500
B2 B 0.500 0.000 0.500
B3 B 0.500 0.500 0.000
Os1 Os 0.500 0.500 0.500
```

Which structure wins on stability? (B) wins.

(A)
TlCuB2 at its PBEsol-relaxed geometry, computed with meta-GGA SCAN.

Properties
space-group type: I4_1/amd
density of states at the Fermi level: 0.240 states/eV/atom

Structure (CIF):
```
data_TlCuB2
_cell_length_a 7.795
_cell_length_b 7.795
_cell_length_c 7.795
_cell_angle_alpha 152.14
_cell_angle_beta 152.14
_cell_angle_gamma 39.81
_space_group_name_H-M_alt 'P 1'
_space_group_IT_number 1
_space_group_name_Hall 'P 1'
loop_
_atom_site_label
_atom_site_type_symbol
_atom_site_fract_x
_atom_site_fract_y
_atom_site_fract_z
Tl1 Tl 0.375 0.625 0.750
Tl2 Tl 0.625 0.375 0.250
Cu1 Cu 0.125 0.875 0.250
Cu2 Cu 0.875 0.125 0.750
B1 B 0.000 0.000 0.000
B2 B 0.000 0.000 0.500
B3 B 0.000 0.500 0.000
B4 B 0.500 0.000 0.500
```

(B)
TlCuB2 at its PBEsol-relaxed geometry, computed with meta-GGA SCAN.

Properties
space-group type: Fm-3m
density of states at the Fermi level: 0.385 states/eV/atom

Structure (CIF):
```
data_TlCuB2
_cell_length_a 4.187
_cell_length_b 4.187
_cell_length_c 4.187
_cell_angle_alpha 60.00
_cell_angle_beta 60.00
_cell_angle_gamma 60.00
_space_group_name_H-M_alt 'P 1'
_space_group_IT_number 1
_space_group_name_Hall 'P 1'
loop_
_atom_site_label
_atom_site_type_symbol
_atom_site_fract_x
_atom_site_fract_y
_atom_site_fract_z
Tl1 Tl 0.000 0.000 0.000
Cu1 Cu 0.500 0.500 0.500
B1 B 0.250 0.250 0.250
B2 B 0.750 0.750 0.750
```

Which structure wins on stability? (A) wins.

(A)
DyFe3B4O12 at its PBEsol-relaxed geometry, computed with meta-GGA SCAN.

Properties
space-group type: R32

Structure (CIF):
```
data_DyFe3B4O12
_cell_length_a 5.880
_cell_length_b 5.880
_cell_length_c 5.880
_cell_angle_alpha 104.60
_cell_angle_beta 104.60
_cell_angle_gamma 104.60
_space_group_name_H-M_alt 'P 1'
_space_group_IT_number 1
_space_group_name_Hall 'P 1'
loop_
_atom_site_label
_atom_site_type_symbol
_atom_site_fract_x
_atom_site_fract_y
_atom_site_fract_z
Dy1 Dy 0.000 0.000 0.000
Fe1 Fe 0.000 0.561 0.439
Fe2 Fe 0.439 0.000 0.561
Fe3 Fe 0.561 0.439 0.000
B1 B 0.062 0.500 0.938
B2 B 0.500 0.500 0.500
B3 B 0.500 0.938 0.062
B4 B 0.938 0.062 0.500
O1 O 0.031 0.633 0.779
O2 O 0.087 0.913 0.500
O3 O 0.221 0.367 0.969
O4 O 0.351 0.649 0.500
O5 O 0.367 0.969 0.221
O6 O 0.500 0.087 0.913
O7 O 0.500 0.351 0.649
O8 O 0.633 0.779 0.031
O9 O 0.649 0.500 0.351
O10 O 0.779 0.031 0.633
O11 O 0.913 0.500 0.087
O12 O 0.969 0.221 0.367
```

(B)
DyFe3B4O12 at its PBEsol-relaxed geometry, computed with meta-GGA SCAN.

Properties
space-group type: P3_121
density of states at the Fermi level: 0.034 states/eV/atom

Structure (CIF):
```
data_DyFe3B4O12
_cell_length_a 9.433
_cell_length_b 9.433
_cell_length_c 7.382
_cell_angle_alpha 90.00
_cell_angle_beta 90.00
_cell_angle_gamma 120.00
_space_group_name_H-M_alt 'P 1'
_space_group_IT_number 1
_space_group_name_Hall 'P 1'
loop_
_atom_site_label
_atom_site_type_symbol
_atom_site_fract_x
_atom_site_fract_y
_atom_site_fract_z
Dy1 Dy 0.000 0.658 0.167
Dy2 Dy 0.342 0.342 0.500
Dy3 Dy 0.658 0.000 0.833
Fe1 Fe 0.000 0.106 0.167
Fe2 Fe 0.106 0.000 0.833
Fe3 Fe 0.213 0.551 0.848
Fe4 Fe 0.338 0.787 0.515
Fe5 Fe 0.449 0.662 0.181
Fe6 Fe 0.551 0.213 0.152
Fe7 Fe 0.662 0.449 0.819
Fe8 Fe 0.787 0.338 0.485
Fe9 Fe 0.894 0.894 0.500
B1 B 0.000 0.221 0.667
B2 B 0.000 0.675 0.667
B3 B 0.126 0.439 0.351
B4 B 0.221 0.000 0.333
B5 B 0.313 0.874 0.018
B6 B 0.325 0.325 0.000
B7 B 0.439 0.126 0.649
B8 B 0.561 0.687 0.684
B9 B 0.675 0.000 0.333
B10 B 0.687 0.561 0.316
B11 B 0.779 0.779 0.000
B12 B 0.874 0.313 0.982
O1 O 0.000 0.073 0.667
O2 O 0.000 0.824 0.667
O3 O 0.003 0.469 0.980
O4 O 0.073 0.000 0.333
O5 O 0.120 0.293 0.314
O6 O 0.146 0.678 0.682
O7 O 0.149 0.360 0.689
O8 O 0.173 0.880 0.981
O9 O 0.176 0.176 0.000
O10 O 0.211 0.851 0.356
O11 O 0.282 0.566 0.394
O12 O 0.284 0.718 0.061
O13 O 0.293 0.120 0.686
O14 O 0.322 0.468 0.015
O15 O 0.360 0.149 0.311
O16 O 0.434 0.716 0.727
O17 O 0.466 0.997 0.646
O18 O 0.468 0.322 0.985
O19 O 0.469 0.003 0.020
O20 O 0.531 0.534 0.313
O21 O 0.532 0.854 0.348
O22 O 0.534 0.531 0.687
O23 O 0.566 0.282 0.606
O24 O 0.640 0.789 0.023
O25 O 0.678 0.146 0.318
O26 O 0.707 0.827 0.648
O27 O 0.716 0.434 0.273
O28 O 0.718 0.284 0.939
O29 O 0.789 0.640 0.977
O30 O 0.824 0.000 0.333
O31 O 0.827 0.707 0.352
O32 O 0.851 0.211 0.644
O33 O 0.854 0.532 0.652
O34 O 0.880 0.173 0.019
O35 O 0.927 0.927 0.000
O36 O 0.997 0.466 0.354
```

Which structure wins on stability? (B) wins.